1.
# Zn2Sb | Alexandria via LeMat-Bulk | PBE | relaxed
# ΔE_f (raw) ... 0.1391 eV/atom
# V ... 21.0 Å³/atom
# E_tot ... -2.0843 eV per atom
data_Zn2Sb
_space_group_name_H-M_alt 'P -3 m 1'
_space_group_IT_number 164
_space_group_name_Hall '-P 3 2"'
_cell_length_a 4.2003
_cell_length_b 4.2003
_cell_length_c 4.1224
_cell_angle_alpha 90.00
_cell_angle_beta 90.00
_cell_angle_gamma 120.00
loop_
_atom_site_label
_atom_site_type_symbol
_atom_site_fract_x
_atom_site_fract_y
_atom_site_fract_z
Zn1 Zn 0.3333 0.6667 0.3628
Sb1 Sb 0.0000 0.0000 0.0000

=====

2.
# ZnSb3 | Alexandria via LeMat-Bulk | PBE | relaxed
# Polymorph energy (0 for the lowest one) ... 157.4 meV/atom
# ΔE_f (raw) ... 0.2442 eV/atom
# V ... 25.0 Å³/atom
# E_tot ... -3.1661 eV per atom
data_ZnSb3
_space_group_name_H-M_alt 'R -3 m'
_space_group_IT_number 166
_space_group_name_Hall '-R 3 2"'
_cell_length_a 3.3642
_cell_length_b 3.3642
_cell_length_c 30.6189
_cell_angle_alpha 90.00
_cell_angle_beta 90.00
_cell_angle_gamma 120.00
loop_
_atom_site_label
_atom_site_type_symbol
_atom_site_fract_x
_atom_site_fract_y
_atom_site_fract_z
Zn1 Zn 0.0000 0.0000 0.0000
Sb1 Sb 0.0000 0.0000 0.2606
Sb2 Sb 0.0000 0.0000 0.5000

=====

3.
# Zn3Sb | Alexandria via LeMat-Bulk | PBE | relaxed
# ΔE_f (raw) ... 0.1766 eV/atom
# V ... 19.6 Å³/atom
# E_tot ... -1.8095 eV per atom
data_Zn3Sb
_space_group_name_H-M_alt 'P 4/m m m'
_space_group_IT_number 123
_space_group_name_Hall '-P 4 2'
_cell_length_a 3.805
_cell_length_b 3.805
_cell_length_c 5.415
_cell_angle_alpha 90.00
_cell_angle_beta 90.00
_cell_angle_gamma 90.00
loop_
_atom_site_label
_atom_site_type_symbol
_atom_site_fract_x
_atom_site_fract_y
_atom_site_fract_z
Zn1 Zn 0.000 0.000 0.000
Zn2 Zn 0.500 0.500 0.240
Sb1 Sb 0.000 0.000 0.500

=====

4.
# Zn3Sb | Alexandria via LeMat-Bulk | PBE | relaxed
# ΔE_f (raw) ... 0.1341 eV/atom
# V ... 19.6 Å³/atom
# E_tot ... -1.8519 eV per atom
data_Zn3Sb
_space_group_name_H-M_alt 'R -3 m'
_space_group_IT_number 166
_space_group_name_Hall '-R 3 2"'
_cell_length_a 3.2984
_cell_length_b 3.2984
_cell_length_c 24.9184
_cell_angle_alpha 90.00
_cell_angle_beta 90.00
_cell_angle_gamma 120.00
loop_
_atom_site_label
_atom_site_type_symbol
_atom_site_fract_x
_atom_site_fract_y
_atom_site_fract_z
Zn1 Zn 0.0000 0.0000 0.0000
Zn2 Zn 0.0000 0.0000 0.2593
Sb1 Sb 0.0000 0.0000 0.5000

=====

5.
# ZnSb3 | Alexandria via LeMat-Bulk | PBE | relaxed
# Polymorph energy (0 for the lowest one) ... 154.8 meV/atom
# ΔE_f (raw) ... 0.2416 eV/atom
# V ... 25.3 Å³/atom
# E_tot ... -3.1687 eV per atom
data_ZnSb3
_space_group_name_H-M_alt 'I 4/m m m'
_space_group_IT_number 139
_space_group_name_Hall '-I 4 2'
_cell_length_a 5.501
_cell_length_b 5.501
_cell_length_c 6.683
_cell_angle_alpha 90.00
_cell_angle_beta 90.00
_cell_angle_gamma 90.00
loop_
_atom_site_label
_atom_site_type_symbol
_atom_site_fract_x
_atom_site_fract_y
_atom_site_fract_z
Zn1 Zn 0.000 0.000 0.000
Sb1 Sb 0.000 0.000 0.500
Sb2 Sb 0.000 0.500 0.250

=====

6.
# Zn5Sb | Alexandria via LeMat-Bulk | PBE | relaxed
# Polymorph energy (0 for the lowest one) ... 27.7 meV/atom
# ΔE_f (raw) ... 0.1378 eV/atom
# V ... 17.8 Å³/atom
# E_tot ... -1.6109 eV per atom
data_Zn5Sb
_space_group_name_H-M_alt 'P 4/m m m'
_space_group_IT_number 123
_space_group_name_Hall '-P 4 2'
_cell_length_a 3.017
_cell_length_b 3.017
_cell_length_c 11.707
_cell_angle_alpha 90.00
_cell_angle_beta 90.00
_cell_angle_gamma 90.00
loop_
_atom_site_label
_atom_site_type_symbol
_atom_site_fract_x
_atom_site_fract_y
_atom_site_fract_z
Zn1 Zn 0.000 0.000 0.000
Zn2 Zn 0.000 0.000 0.294
Zn3 Zn 0.500 0.500 0.150
Sb1 Sb 0.500 0.500 0.500

=====

7.
# Zr2ZnSb | Alexandria via LeMat-Bulk | PBE | relaxed
# ΔE_f (raw) ... -0.1276 eV/atom
# V ... 21.8 Å³/atom
# E_tot ... -5.7507 eV per atom
data_Zr2ZnSb
_space_group_name_H-M_alt 'C m m 2'
_space_group_IT_number 35
_space_group_name_Hall 'C 2 -2'
_cell_length_a 4.367
_cell_length_b 5.222
_cell_length_c 7.646
_cell_angle_alpha 90.00
_cell_angle_beta 90.00
_cell_angle_gamma 90.00
loop_
_atom_site_label
_atom_site_type_symbol
_atom_site_fract_x
_atom_site_fract_y
_atom_site_fract_z
Zr1 Zr 0.000 0.000 0.000
Zr2 Zr 0.000 0.500 0.287
Zn1 Zn 0.000 0.000 0.504
Sb1 Sb 0.000 0.500 0.741

=====

8.
# Zr2ZnSb | Alexandria via LeMat-Bulk | PBE | relaxed
# ΔE_f (raw) ... -0.3609 eV/atom
# V ... 20.7 Å³/atom
# E_tot ... -5.9841 eV per atom
data_Zr2ZnSb
_space_group_name_H-M_alt 'C m m m'
_space_group_IT_number 65
_space_group_name_Hall '-C 2 2'
_cell_length_a 6.166
_cell_length_b 7.949
_cell_length_c 3.381
_cell_angle_alpha 90.00
_cell_angle_beta 90.00
_cell_angle_gamma 90.00
loop_
_atom_site_label
_atom_site_type_symbol
_atom_site_fract_x
_atom_site_fract_y
_atom_site_fract_z
Zr1 Zr 0.250 0.250 0.000
Zn1 Zn 0.000 0.000 0.500
Sb1 Sb 0.000 0.500 0.500

=====

9.
# ZrZnSb | Alexandria via LeMat-Bulk | PBE | relaxed
# ΔE_f (raw) ... -0.2163 eV/atom
# V ... 20.9 Å³/atom
# E_tot ... -4.8645 eV per atom
data_ZrZnSb
_space_group_name_H-M_alt 'F m m 2'
_space_group_IT_number 42
_space_group_name_Hall 'F 2 -2'
_cell_length_a 4.595
_cell_length_b 5.344
_cell_length_c 10.227
_cell_angle_alpha 90.00
_cell_angle_beta 90.00
_cell_angle_gamma 90.00
loop_
_atom_site_label
_atom_site_type_symbol
_atom_site_fract_x
_atom_site_fract_y
_atom_site_fract_z
Zr1 Zr 0.000 0.000 0.000
Zn1 Zn 0.000 0.000 0.343
Sb1 Sb 0.000 0.000 0.684

=====

10.
# Zr2ZnSb | Alexandria via LeMat-Bulk | PBE | relaxed
# ΔE_f (raw) ... -0.2575 eV/atom
# V ... 20.8 Å³/atom
# E_tot ... -5.8806 eV per atom
data_Zr2ZnSb
_space_group_name_H-M_alt 'P 4/m m m'
_space_group_IT_number 123
_space_group_name_Hall '-P 4 2'
_cell_length_a 3.195
_cell_length_b 3.195
_cell_length_c 8.149
_cell_angle_alpha 90.00
_cell_angle_beta 90.00
_cell_angle_gamma 90.00
loop_
_atom_site_label
_atom_site_type_symbol
_atom_site_fract_x
_atom_site_fract_y
_atom_site_fract_z
Zr1 Zr 0.000 0.000 0.229
Zn1 Zn 0.500 0.500 0.000
Sb1 Sb 0.500 0.500 0.500

=====

11.
# Zr2ZnSb | Alexandria via LeMat-Bulk | PBE | relaxed
# ΔE_f (raw) ... -0.3156 eV/atom
# V ... 21.8 Å³/atom
# E_tot ... -5.9388 eV per atom
data_Zr2ZnSb
_space_group_name_H-M_alt 'P 4 m m'
_space_group_IT_number 99
_space_group_name_Hall 'P 4 -2'
_cell_length_a 3.837
_cell_length_b 3.837
_cell_length_c 5.918
_cell_angle_alpha 90.00
_cell_angle_beta 90.00
_cell_angle_gamma 90.00
loop_
_atom_site_label
_atom_site_type_symbol
_atom_site_fract_x
_atom_site_fract_y
_atom_site_fract_z
Zr1 Zr 0.000 0.000 0.000
Zr2 Zr 0.500 0.500 0.271
Zn1 Zn 0.500 0.500 0.791
Sb1 Sb 0.000 0.000 0.502

=====

12.
# Zr2ZnSb | Alexandria via LeMat-Bulk | PBE | relaxed
# ΔE_f (raw) ... -0.4122 eV/atom
# V ... 20.6 Å³/atom
# E_tot ... -6.0354 eV per atom
data_Zr2ZnSb
_space_group_name_H-M_alt 'I m m m'
_space_group_IT_number 71
_space_group_name_Hall '-I 2 2'
_cell_length_a 4.213
_cell_length_b 4.624
_cell_length_c 8.473
_cell_angle_alpha 90.00
_cell_angle_beta 90.00
_cell_angle_gamma 90.00
loop_
_atom_site_label
_atom_site_type_symbol
_atom_site_fract_x
_atom_site_fract_y
_atom_site_fract_z
Zr1 Zr 0.000 0.000 0.246
Zn1 Zn 0.000 0.500 0.500
Sb1 Sb 0.000 0.500 0.000